A relaxed structure of Ag6SeF3, computed with PBE-GGA. Values from VASP.

```
&SYSTEM
  ibrav = 0, nat = 20, ntyp = 3
/
ATOMIC_SPECIES
Se 78.96 Se.upf
Ag 107.87 Ag.upf
F 19.00 F.upf
CELL_PARAMETERS angstrom
-1.395 -2.724 -0.751
7.302 -2.270 -5.329
3.092 -4.461 10.439
ATOMIC_POSITIONS crystal
Se 0.250 0.991 0.292
Ag 0.750 0.751 0.300
Ag 0.750 0.479 0.141
Ag 0.250 0.872 0.517
F 0.750 0.365 0.940
Ag 0.250 0.249 0.700
Ag 0.250 0.521 0.360
Ag 0.250 0.251 0.211
F 0.250 0.635 0.060
Se 0.750 0.009 0.708
Ag 0.750 0.128 0.483
F 0.750 0.128 0.069
Ag 0.750 0.868 0.093
Ag 0.250 0.521 0.859
F 0.750 0.652 0.518
Ag 0.250 0.132 0.907
F 0.250 0.872 0.931
F 0.250 0.348 0.482
Ag 0.750 0.479 0.640
Ag 0.750 0.749 0.789
```

Uncorrected energy ... -64.194 eV per cell
DOS(E_F) ... 1.50 states/eV/f.u.
Energy relative to the elements, uncorrected ... -0.59 eV/atom


A relaxed structure of Ag2SeF5, computed with PBE-GGA. Values from VASP.

```
&SYSTEM
  ibrav = 0, nat = 8, ntyp = 3
/
ATOMIC_SPECIES
F 19.00 F.upf
Ag 107.87 Ag.upf
Se 78.96 Se.upf
CELL_PARAMETERS angstrom
5.491 0.053 -0.606
0.058 6.184 -0.178
-3.180 -3.235 4.728
ATOMIC_POSITIONS crystal
F 0.599 0.595 0.564
F 0.031 0.088 0.737
Ag 0.244 0.785 0.531
Se 0.054 0.031 0.014
F 0.232 0.748 0.909
F 0.036 0.996 0.287
Ag 0.715 0.233 0.408
F 0.866 0.302 0.104
```

Uncorrected energy ... -27.957 eV per cell
DOS(E_F) ... 1.72 states/eV/f.u.
Energy relative to the elements, uncorrected ... -1.18 eV/atom


Q: What is the formula in the second record?
A: Ag2SeF5